Compound: RbHoTc
Source: OQMD via LeMat-Bulk
Functional: PBE
Structure: relaxed

Unit cell a=7.1169 b=7.1169 c=7.1169 alpha=90.00 beta=90.00 gamma=90.00
With the nearest neighbours (Å) after each atom.
Space group F-43m (No. 216)
Inequivalent atoms, fractional coordinates:
Rb1 0.0000 0.0000 0.0000  4 Ho 3.08
Ho1 0.2500 0.2500 0.2500  4 Tc 3.08, 4 Rb 3.08
Tc1 0.0000 0.0000 0.5000  4 Ho 3.08

The value obtained for the energy is -3.57 eV per atom.

Compound: RbHoTh
Source: OQMD via LeMat-Bulk
Functional: PBE
Structure: relaxed

Unit cell a=8.2326 b=8.2326 c=8.2326 alpha=90.00 beta=90.00 gamma=90.00
With the nearest neighbours (Å) after each atom.
Space group F-43m (No. 216)
Inequivalent atoms, fractional coordinates:
Rb1 0.0000 0.0000 0.0000  4 Ho 3.56
Ho1 0.2500 0.2500 0.2500  4 Th 3.56, 4 Rb 3.56
Th1 0.0000 0.0000 0.5000  4 Ho 3.56

For the offset from the most stable computed form, the calculation gives 0 meV per atom.

Compound: RbHoTm
Source: OQMD via LeMat-Bulk
Functional: PBE
Structure: relaxed

Unit cell a=8.3423 b=8.3423 c=8.3423 alpha=90.00 beta=90.00 gamma=90.00
With the nearest neighbours (Å) after each atom.
Space group F-43m (No. 216)
Inequivalent atoms, fractional coordinates:
Rb1 0.0000 0.0000 0.0000  4 Tm 3.61
Ho1 0.0000 0.0000 0.5000  4 Tm 3.61
Tm1 0.2500 0.2500 0.7500  4 Ho 3.61, 4 Rb 3.61

The value obtained for the energy is -2.09 eV per atom.

Compound: RbHoZr
Source: OQMD via LeMat-Bulk
Functional: PBE
Structure: relaxed

Unit cell a=8.1495 b=8.1495 c=8.1495 alpha=90.00 beta=90.00 gamma=90.00
With the nearest neighbours (Å) after each atom.
Space group F-43m (No. 216)
Inequivalent atoms, fractional coordinates:
Rb1 0.0000 0.0000 0.0000  4 Ho 3.53
Ho1 0.2500 0.2500 0.2500  4 Zr 3.53, 4 Rb 3.53
Zr1 0.0000 0.0000 0.5000  4 Ho 3.53

The value obtained for the energy is -3.12 eV per atom.

Compound: HoReS
Source: OQMD via LeMat-Bulk
Functional: PBE
Structure: relaxed

Unit cell a=6.1403 b=6.1403 c=6.1403 alpha=90.00 beta=90.00 gamma=90.00
With the nearest neighbours (Å) after each atom.
Space group F-43m (No. 216)
Inequivalent atoms, fractional coordinates:
Ho1 0.0000 0.0000 0.0000  4 S 2.66
Re1 0.0000 0.0000 0.5000  4 S 2.66
S1 0.2500 0.2500 0.7500  4 Ho 2.66, 4 Re 2.66

The value obtained for the energy is -6.86 eV per atom.

Compound: HoReSi
Source: OQMD via LeMat-Bulk
Functional: PBE
Structure: relaxed

Unit cell a=6.1817 b=6.1817 c=6.1817 alpha=90.00 beta=90.00 gamma=90.00
With the nearest neighbours (Å) after each atom.
Space group F-43m (No. 216)
Inequivalent atoms, fractional coordinates:
Ho1 0.0000 0.0000 0.0000  4 Si 2.68
Re1 0.0000 0.0000 0.5000  4 Si 2.68
Si1 0.2500 0.2500 0.2500  4 Ho 2.68, 4 Re 2.68

The value obtained for the energy is -7.39 eV per atom.

Compound: HoRe4SiSn
Source: OQMD via LeMat-Bulk
Functional: PBE
Structure: relaxed

Unit cell a=4.1340 b=4.1698 c=14.8941 alpha=90.00 beta=90.00 gamma=90.00
With the nearest neighbours (Å) after each atom.
Space group Amm2 (No. 38)
Inequivalent atoms, fractional coordinates:
Ho1 0.0000 0.0000 0.0000  4 Si 3.14, 4 Re 3.26-3.32, 4 Sn 3.29
Re1 0.0000 0.0000 0.3269  2 Si 2.53, 4 Re 2.56-2.58
Re2 0.0000 0.0000 0.7273  4 Re 2.56-2.58, 2 Sn 2.80
Re3 0.5000 0.0000 0.2230  4 Re 2.58-2.63, 2 Sn 2.77
Re4 0.5000 0.0000 0.8312  2 Si 2.51, 4 Re 2.58-2.63
Si1 0.5000 0.0000 0.4251  4 Re 2.51-2.53, 1 Sn 2.61
Sn1 0.5000 0.0000 0.6003  1 Si 2.61, 4 Re 2.77-2.80

The value obtained for the energy is -9.33 eV per atom.

Compound: HoTmReSi2
Source: OQMD via LeMat-Bulk
Functional: PBE
Structure: relaxed

Unit cell a=10.7904 b=4.1529 c=9.9490 alpha=90.00 beta=118.31 gamma=90.00
With the nearest neighbours (Å) after each atom.
Space group C2/m (No. 12)
Inequivalent atoms, fractional coordinates:
Ho1 0.1867 0.0000 0.1117  5 Si 2.92-3.05, 2 Re 3.17
Tm1 0.0090 0.0000 0.6792  6 Si 2.88-3.04, 4 Re 3.10-3.15
Re1 0.2280 0.5000 0.3701  4 Si 2.44-2.54
Si1 0.0027 0.5000 0.8769  1 Si 2.48, 1 Re 2.54
Si2 0.1366 0.5000 0.5577  3 Re 2.44-2.49, 1 Si 2.61

The value obtained for the energy is -7.14 eV per atom.

Compound: SmHoRe
Source: OQMD via LeMat-Bulk
Functional: PBE
Structure: relaxed

Unit cell a=6.7825 b=6.7825 c=6.7825 alpha=90.00 beta=90.00 gamma=90.00
With the nearest neighbours (Å) after each atom.
Space group F-43m (No. 216)
Inequivalent atoms, fractional coordinates:
Sm1 0.0000 0.0000 0.0000  4 Re 2.94, 4 Ho 2.94
Ho1 0.2500 0.2500 0.7500  4 Sm 2.94
Re1 0.2500 0.2500 0.2500  4 Sm 2.94

The formation energy is 1194 meV per atom.

Compound: HoReSn
Source: OQMD via LeMat-Bulk
Functional: PBE
Structure: relaxed

Unit cell a=6.7541 b=6.7541 c=6.7541 alpha=90.00 beta=90.00 gamma=90.00
With the nearest neighbours (Å) after each atom.
Space group F-43m (No. 216)
Inequivalent atoms, fractional coordinates:
Ho1 0.0000 0.0000 0.0000  4 Re 2.92, 4 Sn 2.92
Re1 0.2500 0.2500 0.7500  4 Ho 2.92
Sn1 0.2500 0.2500 0.2500  4 Ho 2.92

The value obtained for the energy is -5.91 eV per atom.

Compound: SrHoRe
Source: OQMD via LeMat-Bulk
Functional: PBE
Structure: relaxed

Unit cell a=7.0023 b=7.0023 c=7.0023 alpha=90.00 beta=90.00 gamma=90.00
With the nearest neighbours (Å) after each atom.
Space group F-43m (No. 216)
Inequivalent atoms, fractional coordinates:
Sr1 0.0000 0.0000 0.0000  4 Ho 3.03
Ho1 0.2500 0.2500 0.7500  4 Re 3.03, 4 Sr 3.03
Re1 0.0000 0.0000 0.5000  4 Ho 3.03

The value obtained for the energy is -4.79 eV per atom.

Compound: Ho2Re2Tc
Source: OQMD via LeMat-Bulk
Functional: PBE
Structure: relaxed

Unit cell a=4.7189 b=4.7189 c=11.1509 alpha=90.00 beta=90.00 gamma=120.00
With the nearest neighbours (Å) after each atom.
Space group P6_3/mmc (No. 194)
Inequivalent atoms, fractional coordinates:
Ho1 0.3333 0.6667 0.1114  4 Re 2.75-2.86, 3 Tc 2.99
Re1 0.3333 0.6667 0.6450  1 Re 2.34
Tc1 0.0000 0.0000 0.0000  6 Ho 2.99, 6 Re 3.17

The formation energy is 993 meV per atom.

Number 1: calculated volume 360 Å³ per cell, M_tot 4.3 μB per cell. Number 2: calculated volume 558 Å³ per cell, M_tot 9.7 μB per cell. Number 3: calculated volume 581 Å³ per cell, M_tot 3.8 μB per cell. Number 4: calculated volume 541 Å³ per cell, M_tot 19.8 μB per cell. Number 5: calculated volume 232 Å³ per cell, M_tot 6.8 μB per cell. Number 6: calculated volume 236 Å³ per cell, M_tot 0.0 μB per cell. Number 7: calculated volume 257 Å³ per cell, M_tot 0.0 μB per cell. Number 8: calculated volume 393 Å³ per cell, M_tot 0.0 μB per cell. Number 9: calculated volume 312 Å³ per cell, M_tot 0.7 μB per cell. Number 10: calculated volume 308 Å³ per cell, M_tot 1.2 μB per cell. Number 11: calculated volume 343 Å³ per cell, M_tot 4.2 μB per cell. Number 12: calculated volume 215 Å³ per cell, M_tot 0.0 μB per cell.